# 1
## MnRu2Se (PBE)

Data for crystalline MnRu2Se at its relaxed geometry.

```
data_MnRu2Se
_cell_length_a 2.899
_cell_length_b 4.399
_cell_length_c 4.564
_cell_angle_alpha 90.00
_cell_angle_beta 90.00
_cell_angle_gamma 90.00
_space_group_name_H-M_alt 'P m m m'
_space_group_IT_number 47
loop_
_space_group_symop_operation_xyz
'x,y,z'
'-x,-y,-z'
'-x,-y,z'
'x,y,-z'
'x,-y,-z'
'-x,y,z'
'-x,y,-z'
'x,-y,z'
loop_
_atom_site_label
_atom_site_type_symbol
_atom_site_fract_x
_atom_site_fract_y
_atom_site_fract_z
Mn1 Mn 0.000 0.000 0.000
Ru1 Ru 0.000 0.500 0.500
Ru2 Ru 0.500 0.500 0.000
Se1 Se 0.500 0.000 0.500
```

Computed properties:
- D(E_F): 4.553 states/eV per cell
- DFT total energy: -7.449 eV per atom
- E_form (uncorrected): 0.352 eV per atom

# 2
## MnRu2Se (PBE)

Data for crystalline MnRu2Se at its relaxed geometry.

```
data_MnRu2Se
_cell_length_a 2.909
_cell_length_b 2.909
_cell_length_c 6.830
_cell_angle_alpha 90.00
_cell_angle_beta 90.00
_cell_angle_gamma 90.00
_space_group_name_H-M_alt 'P 4 m m'
_space_group_IT_number 99
loop_
_space_group_symop_operation_xyz
'x,y,z'
'-y,x,z'
'-x,-y,z'
'y,-x,z'
'-x,y,z'
'y,x,z'
'x,-y,z'
'-y,-x,z'
loop_
_atom_site_label
_atom_site_type_symbol
_atom_site_fract_x
_atom_site_fract_y
_atom_site_fract_z
Mn1 Mn 0.000 0.000 0.000
Ru1 Ru 0.000 0.000 0.510
Ru2 Ru 0.500 0.500 0.268
Se1 Se 0.500 0.500 0.773
```

Computed properties:
- D(E_F): 3.206 states/eV per cell
- DFT total energy: -7.584 eV per atom
- E_form (uncorrected): 0.217 eV per atom

# 3
## MnRuSe2 (PBE)

Data for crystalline MnRuSe2 at its relaxed geometry.

```
data_MnRuSe2
_cell_length_a 6.148
_cell_length_b 6.148
_cell_length_c 6.148
_cell_angle_alpha 90.00
_cell_angle_beta 90.00
_cell_angle_gamma 90.00
_space_group_name_H-M_alt 'F m -3 m'
_space_group_IT_number 225
_space_group_name_Hall '-F 4 2 3'
loop_
_atom_site_label
_atom_site_type_symbol
_atom_site_fract_x
_atom_site_fract_y
_atom_site_fract_z
Mn1 Mn 0.000 0.000 0.000
Ru1 Ru 0.000 0.000 0.500
Se1 Se 0.250 0.250 0.250
```

Computed properties:
- Energy relative to the lowest polymorph listed for this composition: 570 meV/atom
- D(E_F): 21.868 states/eV per cell
- DFT total energy: -6.073 eV per atom
- E_form (uncorrected): 0.280 eV per atom

# 4
## MnRuSe2 (PBE)

Data for crystalline MnRuSe2 at its relaxed geometry.

```
data_MnRuSe2
_cell_length_a 3.8402
_cell_length_b 3.8402
_cell_length_c 17.0250
_cell_angle_alpha 90.00
_cell_angle_beta 90.00
_cell_angle_gamma 120.00
_space_group_name_H-M_alt 'R -3 m'
_space_group_IT_number 166
_space_group_name_Hall '-R 3 2"'
loop_
_atom_site_label
_atom_site_type_symbol
_atom_site_fract_x
_atom_site_fract_y
_atom_site_fract_z
Mn1 Mn 0.0000 0.0000 0.0000
Ru1 Ru 0.0000 0.0000 0.5000
Se1 Se 0.0000 0.0000 0.2420
```

Computed properties:
- Energy relative to the lowest polymorph listed for this composition: 272 meV/atom
- D(E_F): 5.157 states/eV per cell
- DFT total energy: -6.371 eV per atom
- E_form (uncorrected): -0.018 eV per atom

# 5
## MnRu2Se (PBE)

Data for crystalline MnRu2Se at its relaxed geometry.

```
data_MnRu2Se
_cell_length_a 3.904
_cell_length_b 2.876
_cell_length_c 10.376
_cell_angle_alpha 90.00
_cell_angle_beta 90.00
_cell_angle_gamma 90.00
_space_group_name_H-M_alt 'A m m 2'
_space_group_IT_number 38
loop_
_space_group_symop_operation_xyz
'x,y,z'
'-x,-y,z'
'-x,y,z'
'x,-y,z'
'x,y+1/2,z+1/2'
'-x,-y+1/2,z+1/2'
'-x,y+1/2,z+1/2'
'x,-y+1/2,z+1/2'
loop_
_atom_site_label
_atom_site_type_symbol
_atom_site_fract_x
_atom_site_fract_y
_atom_site_fract_z
Mn1 Mn 0.000 0.000 0.000
Ru1 Ru 0.000 0.000 0.249
Ru2 Ru 0.500 0.000 0.634
Se1 Se 0.500 0.000 0.398
```

Computed properties:
- D(E_F): 7.049 states/eV per cell
- DFT total energy: -7.605 eV per atom
- E_form (uncorrected): 0.197 eV per atom

# 6
## MnRu2Se (PBE)

Data for crystalline MnRu2Se at its relaxed geometry.

```
data_MnRu2Se
_cell_length_a 2.9001
_cell_length_b 2.9001
_cell_length_c 24.1391
_cell_angle_alpha 90.00
_cell_angle_beta 90.00
_cell_angle_gamma 120.00
_space_group_name_H-M_alt 'R -3 m'
_space_group_IT_number 166
_space_group_name_Hall '-R 3 2"'
loop_
_atom_site_label
_atom_site_type_symbol
_atom_site_fract_x
_atom_site_fract_y
_atom_site_fract_z
Mn1 Mn 0.0000 0.0000 0.0000
Ru1 Ru 0.0000 0.0000 0.2502
Se1 Se 0.0000 0.0000 0.5000
```

Computed properties:
- D(E_F): 15.858 states/eV per cell
- DFT total energy: -7.521 eV per atom
- E_form (uncorrected): 0.281 eV per atom

# 7
## MnRu2Se (PBE)

Data for crystalline MnRu2Se at its relaxed geometry.

```
data_MnRu2Se
_cell_length_a 9.091
_cell_length_b 2.914
_cell_length_c 4.399
_cell_angle_alpha 90.00
_cell_angle_beta 93.10
_cell_angle_gamma 90.00
_space_group_name_H-M_alt 'C 1 m 1'
_space_group_IT_number 8
loop_
_space_group_symop_operation_xyz
'x,y,z'
'x,-y,z'
'x+1/2,y+1/2,z'
'x+1/2,-y+1/2,z'
loop_
_atom_site_label
_atom_site_type_symbol
_atom_site_fract_x
_atom_site_fract_y
_atom_site_fract_z
Mn1 Mn 0.000 0.000 0.000
Ru1 Ru 0.235 0.500 0.248
Ru2 Ru 0.465 0.000 0.474
Se1 Se 0.239 0.000 0.770
```

Computed properties:
- D(E_F): 7.595 states/eV per cell
- DFT total energy: -7.555 eV per atom
- E_form (uncorrected): 0.246 eV per atom

# 8
## MnRu2Se (PBE)

Data for crystalline MnRu2Se at its relaxed geometry.

```
data_MnRu2Se
_cell_length_a 8.272
_cell_length_b 2.948
_cell_length_c 4.844
_cell_angle_alpha 90.00
_cell_angle_beta 100.17
_cell_angle_gamma 90.00
_space_group_name_H-M_alt 'C 1 2/m 1'
_space_group_IT_number 12
loop_
_space_group_symop_operation_xyz
'x,y,z'
'-x,-y,-z'
'-x,y,-z'
'x,-y,z'
'x+1/2,y+1/2,z'
'-x+1/2,-y+1/2,-z'
'-x+1/2,y+1/2,-z'
'x+1/2,-y+1/2,z'
loop_
_atom_site_label
_atom_site_type_symbol
_atom_site_fract_x
_atom_site_fract_y
_atom_site_fract_z
Mn1 Mn 0.000 0.000 0.000
Ru1 Ru 0.245 0.500 0.245
Se1 Se 0.000 0.500 0.500
```

Computed properties:
- D(E_F): 5.879 states/eV per cell
- DFT total energy: -7.613 eV per atom
- E_form (uncorrected): 0.189 eV per atom

# 9
## MnRuSe (PBE)

Data for crystalline MnRuSe at its relaxed geometry.

```
data_MnRuSe
_cell_length_a 3.143
_cell_length_b 3.739
_cell_length_c 7.712
_cell_angle_alpha 90.00
_cell_angle_beta 90.00
_cell_angle_gamma 90.00
_space_group_name_H-M_alt 'I m m 2'
_space_group_IT_number 44
loop_
_space_group_symop_operation_xyz
'x,y,z'
'-x,-y,z'
'-x,y,z'
'x,-y,z'
'x+1/2,y+1/2,z+1/2'
'-x+1/2,-y+1/2,z+1/2'
'-x+1/2,y+1/2,z+1/2'
'x+1/2,-y+1/2,z+1/2'
loop_
_atom_site_label
_atom_site_type_symbol
_atom_site_fract_x
_atom_site_fract_y
_atom_site_fract_z
Mn1 Mn 0.000 0.000 0.000
Ru1 Ru 0.000 0.000 0.648
Se1 Se 0.000 0.000 0.319
```

Computed properties:
- Energy relative to the lowest polymorph listed for this composition: 210 meV/atom
- D(E_F): 6.432 states/eV per cell
- DFT total energy: -7.072 eV per atom
- E_form (uncorrected): 0.238 eV per atom

# 10
## MnRuSe4 (PBE)

Data for crystalline MnRuSe4 at its relaxed geometry.

```
data_MnRuSe4
_cell_length_a 4.826
_cell_length_b 4.826
_cell_length_c 12.201
_cell_angle_alpha 90.00
_cell_angle_beta 90.00
_cell_angle_gamma 90.00
_space_group_name_H-M_alt 'I -4 m 2'
_space_group_IT_number 119
_space_group_name_Hall 'I -4 -2'
loop_
_atom_site_label
_atom_site_type_symbol
_atom_site_fract_x
_atom_site_fract_y
_atom_site_fract_z
Mn1 Mn 0.000 0.000 0.000
Ru1 Ru 0.000 0.500 0.750
Se1 Se 0.000 0.000 0.198
Se2 Se 0.000 0.500 0.545
```

Computed properties:
- Energy relative to the lowest polymorph listed for this composition: 0 meV/atom
- D(E_F): 10.817 states/eV per cell
- DFT total energy: -5.507 eV per atom
- E_form (uncorrected): -0.110 eV per atom

# 11
## MnRu2Se (PBE)

Data for crystalline MnRu2Se at its relaxed geometry.

```
data_MnRu2Se
_cell_length_a 2.936
_cell_length_b 3.974
_cell_length_c 5.187
_cell_angle_alpha 90.00
_cell_angle_beta 104.65
_cell_angle_gamma 90.00
_space_group_name_H-M_alt 'P 1 2/m 1'
_space_group_IT_number 10
loop_
_space_group_symop_operation_xyz
'x,y,z'
'-x,-y,-z'
'-x,y,-z'
'x,-y,z'
loop_
_atom_site_label
_atom_site_type_symbol
_atom_site_fract_x
_atom_site_fract_y
_atom_site_fract_z
Mn1 Mn 0.000 0.000 0.000
Ru1 Ru 0.367 0.500 0.744
Se1 Se 0.000 0.000 0.500
```

Computed properties:
- D(E_F): 4.049 states/eV per cell
- DFT total energy: -7.546 eV per atom
- E_form (uncorrected): 0.256 eV per atom

# 12
## MnRuSe (PBE)

Data for crystalline MnRuSe at its relaxed geometry.

```
data_MnRuSe
_cell_length_a 5.858
_cell_length_b 5.858
_cell_length_c 5.858
_cell_angle_alpha 90.00
_cell_angle_beta 90.00
_cell_angle_gamma 90.00
_space_group_name_H-M_alt 'F -4 3 m'
_space_group_IT_number 216
_space_group_name_Hall 'F -4 2 3'
loop_
_atom_site_label
_atom_site_type_symbol
_atom_site_fract_x
_atom_site_fract_y
_atom_site_fract_z
Mn1 Mn 0.000 0.000 0.000
Ru1 Ru 0.250 0.250 0.750
Se1 Se 0.000 0.000 0.500
```

Computed properties:
- Energy relative to the lowest polymorph listed for this composition: 0 meV/atom
- D(E_F): 4.327 states/eV per cell
- DFT total energy: -7.282 eV per atom
- E_form (uncorrected): 0.028 eV per atom

# 13
## MnRuSe2 (PBE)

Data for crystalline MnRuSe2 at its relaxed geometry.

```
data_MnRuSe2
_cell_length_a 3.736
_cell_length_b 3.736
_cell_length_c 9.303
_cell_angle_alpha 90.00
_cell_angle_beta 90.00
_cell_angle_gamma 90.00
_space_group_name_H-M_alt 'I -4 m 2'
_space_group_IT_number 119
_space_group_name_Hall 'I -4 -2'
loop_
_atom_site_label
_atom_site_type_symbol
_atom_site_fract_x
_atom_site_fract_y
_atom_site_fract_z
Mn1 Mn 0.000 0.000 0.000
Ru1 Ru 0.000 0.500 0.750
Se1 Se 0.000 0.000 0.500
Se2 Se 0.000 0.500 0.250
```

Computed properties:
- Energy relative to the lowest polymorph listed for this composition: 602 meV/atom
- D(E_F): 7.904 states/eV per cell
- DFT total energy: -6.041 eV per atom
- E_form (uncorrected): 0.313 eV per atom

# 14
## Mn4RuSe (PBE)

Data for crystalline Mn4RuSe at its relaxed geometry.

```
data_Mn4RuSe
_cell_length_a 6.787
_cell_length_b 6.787
_cell_length_c 6.787
_cell_angle_alpha 90.00
_cell_angle_beta 90.00
_cell_angle_gamma 90.00
_space_group_name_H-M_alt 'F -4 3 m'
_space_group_IT_number 216
_space_group_name_Hall 'F -4 2 3'
loop_
_atom_site_label
_atom_site_type_symbol
_atom_site_fract_x
_atom_site_fract_y
_atom_site_fract_z
Mn1 Mn 0.124 0.124 0.124
Ru1 Ru 0.250 0.250 0.750
Se1 Se 0.000 0.000 0.500
```

Computed properties:
- D(E_F): 45.192 states/eV per cell
- DFT total energy: -7.749 eV per atom
- E_form (uncorrected): 0.491 eV per atom

# 15
## MnRuSe (PBE)

Data for crystalline MnRuSe at its relaxed geometry.

```
data_MnRuSe
_cell_length_a 4.1514
_cell_length_b 4.1514
_cell_length_c 3.1042
_cell_angle_alpha 90.00
_cell_angle_beta 90.00
_cell_angle_gamma 120.00
_space_group_name_H-M_alt 'P -6 m 2'
_space_group_IT_number 187
_space_group_name_Hall 'P -6 2'
loop_
_atom_site_label
_atom_site_type_symbol
_atom_site_fract_x
_atom_site_fract_y
_atom_site_fract_z
Mn1 Mn 0.0000 0.0000 0.0000
Ru1 Ru 0.6667 0.3333 0.5000
Se1 Se 0.3333 0.6667 0.5000
```

Computed properties:
- Energy relative to the lowest polymorph listed for this composition: 86 meV/atom
- D(E_F): 2.004 states/eV per cell
- DFT total energy: -7.196 eV per atom
- E_form (uncorrected): 0.114 eV per atom